# RbMg2Ag2Sb2

A relaxed RbMg2Ag2Sb2 crystal (GGA-PBE, the Alexandria database).

## Properties
**Fermi-level density of states**: 2.04 states/eV per cell
**Electronic total energy**: -2.89 eV/atom
**Raw formation energy**: -6.93 kcal/mol of atoms
**Crystal system**: trigonal
**Space group**: No. 166

Lattice parameters (Å, degrees): 10.1210 10.1210 10.1210 27.37 27.37 27.37
Atoms (fractional coordinates):
Rb  0.0000  0.0000  0.0000
Mg  0.1398  0.1398  0.1398
Mg  0.8602  0.8602  0.8602
Ag  0.4509  0.4509  0.4509
Ag  0.5491  0.5491  0.5491
Sb  0.2446  0.2446  0.2446
Sb  0.7554  0.7554  0.7554